# 1
Cs2BaHgBr6 | Alexandria | PBE | relaxed; formation energy (no corrections) = -141.8 kJ/mol of atoms; distance to the lowest polymorph of the same formula = 19 meV/atom
1.0
-5.322 4.090 5.155
4.420 -2.691 6.697
2.999 5.584 5.612
Cs Hg Br Ba
2 1 6 1
direct
0.750 0.250 0.500
0.250 0.750 0.500
0.000 0.000 0.000
0.237 0.237 0.526
0.763 0.763 0.474
0.237 0.237 0.000
0.763 0.763 0.000
0.763 0.237 0.000
0.237 0.763 0.000
0.500 0.500 0.000

# 2
Below is crystalline SmPaH2 at its relaxed geometry, with properties calculated at the PBE level.

Cell and atoms, written as POSCAR:
```
SmPaH2
1.0
3.461 0.000 0.000
1.730 2.997 0.000
1.730 0.999 5.905
H Pa Sm
2 1 1
direct
0.746 0.746 0.761
0.254 0.254 0.239
0.000 0.000 0.000
0.500 0.500 0.500
```

# 3
RbTl3Co | Alexandria | PBE | relaxed; distance to the lowest polymorph of the same formula = 1390 meV/atom; formation enthalpy at 0 K = 1.488 eV/atom
1.0
6.324 0.000 0.000
0.000 6.324 0.000
0.000 0.000 6.324
Tl Co Rb
3 1 1
direct
0.000 0.500 0.000
0.000 0.000 0.500
0.500 0.000 0.000
0.500 0.500 0.500
0.000 0.000 0.000

# 4
SrYBr | Alexandria | PBE | relaxed; formation energy (no corrections) = -58.9 kJ/mol of atoms; distance to the lowest polymorph of the same formula = 140 meV/atom
1.0
-5.227 0.996 -5.637
-2.840 -3.583 -6.260
2.223 0.149 7.425
Y Sr Br
1 1 1
direct
0.651 0.651 0.000
0.343 0.343 0.000
0.007 0.007 0.000

# 5
Sm2NpWN6 | Alexandria | PBE | relaxed; formation energy (no corrections) = -94.7 kJ/mol of atoms
1.0
-4.096 -1.080 1.143
1.477 -5.512 0.084
1.416 0.463 5.509
Sm Np W N
2 1 1 6
direct
0.037 0.500 0.000
0.037 0.000 0.500
0.633 0.500 0.500
0.591 0.000 0.000
0.705 0.241 0.241
0.705 0.241 0.759
0.152 0.500 0.500
0.178 0.000 0.000
0.705 0.759 0.759
0.705 0.759 0.241

# 6
Se2Br | Alexandria | PBE | relaxed; formation energy (no corrections) = 21.3 kJ/mol of atoms; distance to the lowest polymorph of the same formula = 266 meV/atom
1.0
5.598 2.125 1.691
-2.629 1.495 5.438
-0.426 -5.901 -1.928
Se Br
4 2
direct
0.380 0.120 0.500
0.620 0.880 0.500
0.120 0.620 0.740
0.880 0.380 0.260
0.750 0.750 0.000
0.250 0.250 0.000

# 7
Eu2HAu | Alexandria | PBE | relaxed; distance to the lowest polymorph of the same formula = 0 meV/atom
1.0
4.044 0.000 0.000
2.022 3.503 0.000
2.022 1.168 6.840
Eu H Au
2 1 1
direct
0.263 0.263 0.212
0.737 0.737 0.788
0.000 0.000 0.000
0.500 0.500 0.500

# 8
Ca2Mg3Zn6 | Alexandria | PBE | relaxed; formation enthalpy at 0 K = -0.076 eV/atom
1.0
-0.935 3.457 -2.531
-7.246 -0.338 2.215
2.335 4.663 5.507
Ca Mg Zn
2 3 6
direct
0.000 0.292 0.708
0.000 0.708 0.292
0.000 0.208 0.208
0.000 0.792 0.792
0.500 0.000 0.000
0.500 0.381 0.381
0.500 0.619 0.619
0.500 0.040 0.353
0.500 0.960 0.647
0.500 0.353 0.040
0.500 0.647 0.960

# 9
KSr3Cu4Br12 | Alexandria | PBE | relaxed; formation energy (no corrections) = -117.2 kJ/mol of atoms
1.0
9.538 -0.058 -0.080
-2.354 9.243 -0.080
-2.354 -3.010 8.740
K Sr Cu Br
1 3 4 12
direct
0.000 0.000 0.000
0.551 0.449 0.000
0.449 0.000 0.551
0.000 0.551 0.449
0.937 0.063 0.500
0.063 0.500 0.937
0.500 0.937 0.063
0.500 0.500 0.500
0.500 0.344 0.656
0.902 0.500 0.098
0.098 0.902 0.500
0.500 0.098 0.902
0.347 0.983 0.214
0.214 0.347 0.983
0.983 0.214 0.347
0.653 0.786 0.017
0.017 0.653 0.786
0.786 0.017 0.653
0.656 0.500 0.344
0.344 0.656 0.500

# 10
ZnCd2As | Alexandria | PBE | relaxed; distance to the lowest polymorph of the same formula = 39 meV/atom; formation enthalpy at 0 K = 0.123 eV/atom
1.0
-0.061 3.169 -1.830
-2.544 1.279 2.300
4.794 2.387 3.975
As Cd Zn
1 2 1
direct
0.500 0.500 0.652
0.000 0.000 0.015
0.500 0.500 0.241
0.000 0.000 0.592

For reference, energy by record: -2.866, -5.442, -1.547, -3.884, -9.510, -2.660, -7.295, -1.570, -3.345, -1.815 eV/atom.
For reference, total magnetic moment by record: 0.0000, 0.0000, 0.2866, 0.0001, 0.1004, 0.0000, 3.6646, 0.0000, 0.0584, 0.0000 μB/atom.